First-principles (PBE) data for crystalline AlSnW at its relaxed geometry, as listed in the Open Quantum Materials Database.

Results
offset from the most stable computed form	0.00	eV per formula unit
E	-6.18	eV per atom

Cell: 6.367 6.367 6.367 Å, 90.00 90.00 90.00°
Space group F-43m (No. 216)
Asymmetric unit:
Al 0.000 0.000 0.000 (multiplicity 4)
Sn 0.000 0.000 0.500 (multiplicity 4)
W 0.250 0.250 0.250 (multiplicity 4)